DFT (PBE with a Hubbard U) results for a relaxed structure of Ti6FeO16.

abc: 4.8289 7.8748 7.6019
angles: 86.12 88.79 88.58
Closest atoms and distances in Å follow each position.
Atoms (fractional coordinates):
O: 0.2178 0.7596 0.3428  2 Ti 1.96-2.03, 1 Fe 2.03
O: 0.7808 0.2945 0.6324  2 Ti 1.82-1.84
O: 0.8419 0.0142 0.4418  1 O 1.37
O: 0.7207 0.3588 0.2676  1 Ti 1.83
O: 0.2473 0.8891 0.9812  2 Ti 1.75-1.88
O: 0.0680 0.0158 0.5465  1 O 1.37
O: 0.7328 0.7412 0.1480  3 Ti 1.90-2.07
O: 0.7783 0.8191 0.7677  1 Ti 1.73, 1 Fe 1.94
O: 0.7482 0.0744 0.0747  2 Ti 1.78-1.89
O: 0.2165 0.1444 0.2331  1 Ti 1.86
O: 0.3218 0.2491 0.8567  2 Ti 1.78-1.91
O: 0.2971 0.6349 0.7338  1 Fe 1.90, 2 Ti 1.99
O: 0.7329 0.6135 0.4982  1 Ti 1.77, 1 Fe 1.93
O: 0.3823 0.5109 0.0632  1 O 1.52
O: 0.6345 0.4799 0.9463  1 O 1.52
O: 0.2710 0.4127 0.4716  2 Ti 1.89-1.95
Fe: 0.0275 0.7437 0.5844  4 O 1.90-2.03
Ti: 0.9736 0.2707 0.4266  3 O 1.82-1.89
Ti: 0.0259 0.9208 0.1625  2 O 1.75-1.89
Ti: 0.5274 0.5975 0.3106  3 O 1.77-1.96
Ti: 0.5272 0.7348 0.9127  2 O 1.73-1.88
Ti: 0.4567 0.4039 0.6976  4 O 1.78-1.99
Ti: 0.4889 0.2385 0.0830  3 O 1.78-1.91

Computed properties:
* theoretical density: 3.45 g cm⁻³
* SG: P1
* VASP energy: -8.094 eV per atom
* total magnetic moment: 6.03 μB per cell